# 1
The following is a PBE calculation of an optimized crystal structure of DyAlAg3, from Alexandria via LeMat-Bulk. Values from VASP.

```
&SYSTEM
  ibrav = 0, nat = 10, ntyp = 3
/
ATOMIC_SPECIES
Ag 107.87 Ag.upf
Dy 162.50 Dy.upf
Al 26.98 Al.upf
ATOMIC_POSITIONS angstrom
Ag 3.284 -1.089 2.481
Ag 1.936 -5.782 2.627
Ag 1.672 -3.133 3.601
Ag 3.814 -1.866 5.155
Ag 3.548 -3.738 1.508
Ag 5.689 -2.471 3.061
Dy 4.292 -5.503 4.691
Dy 0.928 -1.368 0.417
Al 2.440 -7.993 3.737
Al 2.099 -3.592 6.156
CELL_PARAMETERS angstrom
-0.681 -4.715 4.784
3.118 -5.965 0.567
4.283 2.534 3.107
```

Properties
ΔE_f in eV/atom: -0.1891
Energy above the most stable polymorph in this dataset in eV/atom: 0.045
Total moment in Bohr magnetons per cell: 0.00


# 2
The following is a PBE calculation of an optimized crystal structure of Li2Pr2SmSb2, from Alexandria via LeMat-Bulk. Values from VASP.

```
&SYSTEM
  ibrav = 0, nat = 7, ntyp = 4
/
ATOMIC_SPECIES
Li 6.94 Li.upf
Sm 150.36 Sm.upf
Pr 140.91 Pr.upf
Sb 121.76 Sb.upf
ATOMIC_POSITIONS angstrom
Li 4.782 2.761 7.405
Li 4.782 2.761 1.926
Sm 0.000 0.000 0.000
Pr 7.173 4.141 3.609
Pr 2.391 1.380 5.722
Sb 7.173 4.141 7.488
Sb 2.391 1.380 1.843
CELL_PARAMETERS angstrom
4.782 0.000 0.000
2.391 4.141 0.000
2.391 1.380 9.331
```

Properties
Energy relative to the elements, uncorrected in meV per atom: -611
Total moment in Bohr magnetons per cell: 0.00


# 3
The following is a PBE calculation of an optimized crystal structure of SnS2I, from Alexandria via LeMat-Bulk. Values from VASP.

```
&SYSTEM
  ibrav = 0, nat = 8, ntyp = 3
/
ATOMIC_SPECIES
S 32.06 S.upf
Sn 118.71 Sn.upf
I 126.90 I.upf
ATOMIC_POSITIONS angstrom
S 9.398 8.795 3.163
S 5.639 6.241 3.163
S 5.036 1.880 1.054
S 2.482 5.639 1.054
Sn 3.759 7.518 2.108
Sn 3.759 3.759 0.000
I 7.518 3.759 2.108
I 0.000 0.000 0.000
CELL_PARAMETERS angstrom
7.518 0.000 0.000
0.000 7.518 0.000
3.759 3.759 4.217
```

Properties
Energy relative to the elements, uncorrected in meV per atom: 111
Energy above the most stable polymorph in this dataset in eV/atom: 0.211
Total moment in Bohr magnetons per cell: 0.00


# 4
The following is a PBE calculation of an optimized crystal structure of Ac2LaCeBi4, from Alexandria via LeMat-Bulk. Values from VASP.

```
&SYSTEM
  ibrav = 0, nat = 8, ntyp = 4
/
ATOMIC_SPECIES
Bi 208.98 Bi.upf
Ce 140.12 Ce.upf
Ac 227.00 Ac.upf
La 138.91 La.upf
ATOMIC_POSITIONS angstrom
Bi 0.000 8.274 5.740
Bi 4.772 2.891 1.829
Bi 2.386 6.818 1.821
Bi 2.386 4.348 5.748
Ce 2.386 7.036 7.651
Ac 0.000 2.906 7.733
Ac 2.386 1.453 3.867
La 0.000 5.583 3.785
CELL_PARAMETERS angstrom
4.772 0.000 0.000
0.000 8.259 -0.164
0.000 2.906 7.733
```

Properties
ΔE_f in eV/atom: -0.9592
Total moment in Bohr magnetons per cell: 0.82


# 5
The following is a PBE calculation of an optimized crystal structure of CrRh2Br, from Alexandria via LeMat-Bulk. Values from VASP.

```
&SYSTEM
  ibrav = 0, nat = 8, ntyp = 3
/
ATOMIC_SPECIES
Br 79.90 Br.upf
Cr 52.00 Cr.upf
Rh 102.91 Rh.upf
ATOMIC_POSITIONS angstrom
Br 0.000 0.000 0.000
Br -5.060 -1.779 4.577
Cr -3.880 -1.263 1.014
Cr -4.797 -4.868 1.735
Rh -3.392 -0.510 3.090
Rh -8.211 -5.118 5.064
Rh -4.634 -4.220 3.897
Rh -3.477 -3.445 0.573
CELL_PARAMETERS angstrom
-4.143 1.825 3.856
-3.617 -4.352 -1.827
-2.096 -4.120 4.284
```

Properties
Energy relative to the elements, uncorrected in meV per atom: 682
Energy above the most stable polymorph in this dataset in eV/atom: 0.406
Total moment in Bohr magnetons per cell: 1.97


# 6
The following is a PBE calculation of an optimized crystal structure of SiSb2BrF, from Alexandria via LeMat-Bulk. Values from VASP.

```
&SYSTEM
  ibrav = 0, nat = 5, ntyp = 4
/
ATOMIC_SPECIES
Br 79.90 Br.upf
F 19.00 F.upf
Sb 121.76 Sb.upf
Si 28.09 Si.upf
ATOMIC_POSITIONS angstrom
Br 0.000 0.000 0.000
F 2.760 2.511 2.760
Sb 0.000 0.000 2.760
Sb 2.760 0.000 0.000
Si 0.000 2.511 0.000
CELL_PARAMETERS angstrom
5.521 0.000 0.000
0.000 5.022 0.000
0.000 0.000 5.521
```

Properties
Energy relative to the elements, uncorrected in meV per atom: 907
Total moment in Bohr magnetons per cell: 0.00


# 7
The following is a PBE calculation of an optimized crystal structure of SiTeBr2F, from Alexandria via LeMat-Bulk. Values from VASP.

```
&SYSTEM
  ibrav = 0, nat = 5, ntyp = 4
/
ATOMIC_SPECIES
Br 79.90 Br.upf
F 19.00 F.upf
Si 28.09 Si.upf
Te 127.60 Te.upf
ATOMIC_POSITIONS angstrom
Br 0.000 0.000 2.462
Br 2.462 0.000 0.000
F 2.462 2.790 2.462
Si 0.000 0.000 0.000
Te 0.000 2.790 0.000
CELL_PARAMETERS angstrom
4.923 0.000 0.000
0.000 5.580 0.000
0.000 0.000 4.923
```

Properties
Energy relative to the elements, uncorrected in meV per atom: -9
Total moment in Bohr magnetons per cell: 1.93


# 8
The following is a PBE calculation of an optimized crystal structure of Th6ZrIn10, from Alexandria via LeMat-Bulk. Values from VASP.

```
&SYSTEM
  ibrav = 0, nat = 17, ntyp = 3
/
ATOMIC_SPECIES
In 114.82 In.upf
Zr 91.22 Zr.upf
Th 232.04 Th.upf
ATOMIC_POSITIONS angstrom
In 5.125 6.069 3.504
In 1.273 6.069 -3.504
In 5.125 0.000 2.363
In 0.000 5.410 0.000
In 3.199 2.705 4.685
In 5.125 2.046 -1.182
In 0.000 2.705 4.685
In 1.273 0.000 7.007
In 3.199 5.410 0.000
In 1.273 2.046 1.182
Zr 3.199 0.000 0.000
Th 4.628 3.139 1.812
Th 4.628 4.976 -2.873
Th 4.628 0.000 5.746
Th 1.770 4.976 2.873
Th 1.770 0.000 3.624
Th 1.770 3.139 -1.812
CELL_PARAMETERS angstrom
6.397 0.000 0.000
0.000 8.115 -4.685
0.000 0.000 9.370
```

Properties
ΔE_f in eV/atom: -0.1750
Total moment in Bohr magnetons per cell: 0.00


Look up the total moment of the fourth one. 0.82 Bohr magnetons per cell


total moment of number 4 (Ac2LaCeBi4)? 0.82 Bohr magnetons per cell


What is the total moment in the eighth record? 0.00 Bohr magnetons per cell


What is the formula in the first record? DyAlAg3